The following is a DFT calculation (PBE) of crystalline Na3Ag2 at its relaxed geometry.

ΔE_f in eV/atom: -0.004
Magnetization in μB/cell: 0.00
Density of states at the Fermi level in states/eV/f.u.: 1.7
Distance to the lowest polymorph of the same formula in meV/atom: 0
E in eV per atom: -1.94

a = 5.0341 Å, b = 5.8113 Å, c = 8.9908 Å
α = 90.00°, β = 90.00°, γ = 90.00°
Fractional coordinates of all 10 atoms:
Na: 0.0000 0.0000 0.0000
Na: 0.0000 0.5000 0.1967
Na: 0.0000 0.5000 0.8033
Na: 0.5000 0.0000 0.3033
Na: 0.5000 0.0000 0.6967
Na: 0.5000 0.5000 0.5000
Ag: 0.0000 0.2381 0.5000
Ag: 0.0000 0.7619 0.5000
Ag: 0.5000 0.2619 0.0000
Ag: 0.5000 0.7381 0.0000